1.
Below is Tb2Pd7Au2 after structural relaxation, with properties calculated at the GGA-PBE level.

```
Tb2Pd7Au2
1.0
4.659 -4.616 0.000
4.659 4.616 0.000
-2.438 0.000 4.730
Tb Pd Au
2 7 2
direct
0.218 0.782 0.000
0.782 0.218 0.000
0.000 0.000 0.500
0.073 0.585 0.332
0.372 0.372 0.617
0.415 0.927 0.668
0.585 0.073 0.332
0.628 0.628 0.383
0.927 0.415 0.668
0.275 0.275 0.034
0.725 0.725 0.966
```

Computed properties:
- Total moment: 0.00 μB/cell
- Theoretical density: 11.9 Mg/m³
- Energy of formation from the pure elements: -0.531 eV/atom

2.
Below is Pr4BiAs2Se after structural relaxation, with properties calculated at the GGA-PBE level.

```
Pr4BiAs2Se
1.0
7.572 0.000 0.000
0.000 4.375 0.000
-2.518 0.000 7.210
Pr Bi As Se
4 1 2 1
direct
0.239 0.000 0.233
0.250 0.500 0.765
0.750 0.500 0.235
0.761 0.000 0.767
0.500 0.500 0.500
0.000 0.500 0.000
0.500 0.000 0.000
0.000 0.000 0.500
```

Computed properties:
- Uncorrected formation energy: -11.74 eV per formula unit
- Total moment: 0.00 μB/cell
- Theoretical density: 7.0 Mg/m³

Number 1: energy -0.3876 Ry per atom, Fermi-level density of states 3.182 states/eV/f.u.. Number 2: energy -0.4366 Ry per atom, Fermi-level density of states 1.612 states/eV/f.u..